The following is a GGA-PBE calculation of VFe2H after structural relaxation, from the Alexandria database.

Properties
SG	Fm-3m
distance to the lowest polymorph of the same formula	549.6	meV per atom
total moment	0.382	μB/atom

Cell: 3.828 3.828 3.828 Å, 60.00 60.00 60.00°
Last column: magnetic moment on the atom in μB.
Element x y z (fractional)
Fe 0.750 0.750 0.750  1.10
Fe 0.250 0.250 0.250  1.10
V 0.500 0.500 0.500  -0.66
H 0.000 0.000 0.000  0.00